1.
{"formula": "ZnAsW2", "functional": "PBE-GGA", "state": "optimized geometry", "de_polymorph_mev_per_atom": 248, "formation_enthalpy_0k_kj_per_mol_atoms": 44.7, "lattice_angstrom": [[-0.316, -0.489, -3.127], [-1.773, -4.140, 0.826], [-3.971, 1.726, 0.131]], "species": ["As", "W", "W", "Zn"], "frac_coords": [[0.000, 0.500, 0.500], [0.000, 0.000, 0.000], [0.500, 0.500, 0.000], [0.500, 0.000, 0.500]]}

2.
{"formula": "Zn2AsW", "functional": "PBE-GGA", "state": "optimized geometry", "formation_enthalpy_0k_kj_per_mol_atoms": 30.6, "lattice_angstrom": [[-0.706, -2.619, 0.911], [1.854, -1.145, -1.855], [6.163, 0.395, 5.913]], "species": ["As", "W", "Zn", "Zn"], "frac_coords": [[0.000, 0.000, 0.549], [0.500, 0.500, 0.760], [0.000, 0.000, 0.986], [0.500, 0.500, 0.205]]}

3.
{"formula": "Zn2AsW", "functional": "PBE-GGA", "state": "optimized geometry", "formation_enthalpy_0k_kj_per_mol_atoms": 28.8, "lattice_angstrom": [[-2.199, -1.801, -2.111], [2.774, -1.362, -1.728], [0.094, -3.875, 3.207]], "species": ["As", "W", "Zn", "Zn"], "frac_coords": [[0.500, 0.500, 0.250], [0.500, 0.500, 0.750], [0.000, 0.000, 0.992], [0.000, 0.000, 0.508]]}

4.
{"formula": "ZnAsW", "functional": "PBE-GGA", "state": "optimized geometry", "de_polymorph_mev_per_atom": 1055, "formation_enthalpy_0k_kj_per_mol_atoms": 118.7, "lattice_angstrom": [[-0.687, -0.280, -4.210], [1.393, -3.409, -2.171], [-2.795, -2.852, -1.524]], "species": ["As", "W", "Zn"], "frac_coords": [[0.000, 0.000, 0.000], [0.500, 0.500, 0.500], [0.750, 0.750, 0.750]]}

5.
{"formula": "ZnAs2W2", "functional": "PBE-GGA", "state": "optimized geometry", "de_polymorph_mev_per_atom": 90, "formation_enthalpy_0k_kj_per_mol_atoms": 36.3, "lattice_angstrom": [[3.735, 0.000, 0.000], [0.000, 3.735, 0.000], [1.868, 1.868, 7.372]], "species": ["As", "As", "Zn", "W", "W"], "frac_coords": [[0.378, 0.378, 0.243], [0.622, 0.622, 0.757], [0.000, 0.000, 0.000], [0.750, 0.250, 0.500], [0.250, 0.750, 0.500]]}

6.
{"formula": "ZnAs2W2", "functional": "PBE-GGA", "state": "optimized geometry", "de_polymorph_mev_per_atom": 0, "formation_enthalpy_0k_kj_per_mol_atoms": 27.6, "lattice_angstrom": [[-1.040, 6.989, 0.351], [-6.787, -1.093, 1.669], [0.793, -0.042, 3.196]], "species": ["As", "As", "As", "As", "Zn", "Zn", "W", "W", "W", "W"], "frac_coords": [[0.150, 0.650, 0.500], [0.650, 0.850, 0.500], [0.850, 0.350, 0.500], [0.350, 0.150, 0.500], [0.000, 0.000, 0.000], [0.500, 0.500, 0.000], [0.357, 0.857, 0.000], [0.857, 0.643, 0.000], [0.643, 0.143, 0.000], [0.143, 0.357, 0.000]]}

7.
{"formula": "ZnAsW", "functional": "PBE-GGA", "state": "optimized geometry", "de_polymorph_mev_per_atom": 231, "formation_enthalpy_0k_kj_per_mol_atoms": 39.2, "lattice_angstrom": [[-5.437, -0.002, -4.883], [-5.841, -2.360, -3.294], [-1.781, 2.089, 0.844]], "species": ["As", "W", "Zn"], "frac_coords": [[0.022, 0.022, 0.978], [0.662, 0.662, 0.338], [0.316, 0.316, 0.684]]}

8.
{"formula": "Zn2AsW", "functional": "PBE-GGA", "state": "optimized geometry", "formation_enthalpy_0k_kj_per_mol_atoms": 31.1, "lattice_angstrom": [[-0.126, -2.697, 0.707], [2.409, 0.170, -1.400], [4.115, 1.718, 7.289]], "species": ["As", "W", "Zn", "Zn"], "frac_coords": [[0.500, 0.500, 0.250], [0.500, 0.500, 0.750], [0.000, 0.000, 0.990], [0.000, 0.000, 0.510]]}